1.
An optimized crystal structure of Fe2OsRu, computed with GGA-PBE.

a = 3.701 Å, b = 3.701 Å, c = 7.200 Å
α = 90.00°, β = 90.00°, γ = 90.00°
Space group I4/mmm (No. 139)
Symmetry-distinct sites (fractional):
Fe  0.000  0.500  0.250 x4
Os  0.000  0.000  0.000 x2
Ru  0.000  0.000  0.500 x2

## Properties
ρ = 13.6 g/cm³
N(E_F) = 9.78 states/eV/cell



2.
An optimized crystal structure of Fe2OsRu, computed with GGA-PBE.

a = 2.614 Å, b = 3.633 Å, c = 5.222 Å
α = 90.00°, β = 90.00°, γ = 90.00°
Space group Pmmm (No. 47)
Symmetry-distinct sites (fractional):
Fe  0.000  0.000  0.247 x2
Os  0.500  0.500  0.000 x1
Ru  0.500  0.500  0.500 x1

## Properties
ρ = 13.5 g/cm³
N(E_F) = 5.75 states/eV/cell



3.
An optimized crystal structure of Fe2OsRu, computed with GGA-PBE.

a = 8.775 Å, b = 2.656 Å, c = 4.497 Å
α = 90.00°, β = 100.05°, γ = 90.00°
Space group Cm (No. 8)
Symmetry-distinct sites (fractional):
Fe  0.000  0.000  0.000 x2
Fe  0.249  0.500  0.237 x2
Os  0.499  0.000  0.495 x2
Ru  0.249  0.000  0.739 x2

## Properties
ρ = 13.0 g/cm³
N(E_F) = 7.99 states/eV/cell



4.
An optimized crystal structure of FeOs2Ru, computed with GGA-PBE.

a = 4.635 Å, b = 2.692 Å, c = 4.639 Å
α = 90.00°, β = 109.61°, γ = 90.00°
Space group P2/m (No. 10)
Symmetry-distinct sites (fractional):
Fe  0.000  0.000  0.000 x1
Os  0.500  0.000  0.500 x1
Os  0.500  0.500  0.000 x1
Ru  0.000  0.500  0.500 x1

## Properties
ρ = 16.4 g/cm³
N(E_F) = 3.90 states/eV/cell
E above lowest polymorph = 0.09 eV/f.u.



5.
An optimized crystal structure of FeOs2Ru, computed with GGA-PBE.

a = 8.850 Å, b = 2.693 Å, c = 4.638 Å
α = 90.00°, β = 100.06°, γ = 90.00°
Space group C2/m (No. 12)
Symmetry-distinct sites (fractional):
Fe  0.000  0.000  0.000 x2
Os  0.249  0.500  0.243 x4
Ru  0.000  0.500  0.500 x2

## Properties
ρ = 16.4 g/cm³
N(E_F) = 8.76 states/eV/cell
E above lowest polymorph = 0.06 eV/f.u.



6.
An optimized crystal structure of Fe3OsRu, computed with GGA-PBE.

a = 4.418 Å, b = 4.418 Å, c = 4.418 Å
α = 90.00°, β = 90.00°, γ = 90.00°
Space group Pm-3m (No. 221)
Symmetry-distinct sites (fractional):
Fe  0.000  0.000  0.500 x3
Os  0.000  0.000  0.000 x1
Ru  0.500  0.500  0.500 x1

## Properties
ρ = 8.8 g/cm³
N(E_F) = 6.34 states/eV/cell
E above lowest polymorph = 0.00 eV/f.u.



7.
An optimized crystal structure of Fe2OsRu, computed with GGA-PBE.

a = 3.682 Å, b = 3.682 Å, c = 7.550 Å
α = 90.00°, β = 90.00°, γ = 90.00°
Space group I-4m2 (No. 119)
Symmetry-distinct sites (fractional):
Fe  0.000  0.000  0.000 x2
Fe  0.000  0.500  0.250 x2
Os  0.000  0.500  0.750 x2
Ru  0.000  0.000  0.500 x2

## Properties
ρ = 13.1 g/cm³
N(E_F) = 9.64 states/eV/cell



8.
An optimized crystal structure of FeOs2Ru, computed with GGA-PBE.

a = 2.7095 Å, b = 2.7095 Å, c = 26.0453 Å
α = 90.00°, β = 90.00°, γ = 120.00°
Space group R3m (No. 160, hexagonal axes)
Symmetry-distinct sites (fractional):
Fe  0.0000  0.0000  0.0000 x3
Os  0.0000  0.0000  0.5005 x3
Os  0.0000  0.0000  0.7491 x3
Ru  0.0000  0.0000  0.2515 x3

## Properties
ρ = 16.2 g/cm³
N(E_F) = 10.28 states/eV/cell
E above lowest polymorph = 0.15 eV/f.u.



| no. | calculated formation energy (eV/atom) |
| --- | --- |
| 1 | 0.163 |
| 2 | 0.170 |
| 3 | 0.132 |
| 4 | 0.157 |
| 5 | 0.150 |
| 6 | 1.736 |
| 7 | 0.126 |
| 8 | 0.173 |